Record 1
Material: KMg2Cu
Method: DFT, PBE-GGA
State: relaxed

abc: 6.6407 6.6407 3.1966
angles: 103.13 103.13 123.28
Positions (direct):
K 0.0000 0.0000 0.0000
Mg 0.0000 0.5000 0.5000
Mg 0.5000 0.0000 0.5000
Cu 0.5000 0.5000 0.0000

Computed properties:
E_form   0.42 eV per atom
Electronic total energy   -1.68 eV/atom
Crystal system   monoclinic


Record 2
Material: KMgCu2
Method: DFT, PBE-GGA
State: relaxed

abc: 5.1209 5.1209 6.5756
angles: 101.84 101.84 34.75
Positions (direct):
K 0.0000 0.0000 0.0000
Mg 0.1853 0.1853 0.5698
Cu 0.4568 0.4568 0.5085
Cu 0.7874 0.7874 0.3060

Computed properties:
E_form   0.28 eV per atom
Electronic total energy   -2.44 eV/atom
Crystal system   monoclinic


Record 3
Material: KMg2Cu
Method: DFT, PBE-GGA
State: relaxed

abc: 6.6446 6.6446 5.7026
angles: 115.30 115.30 26.96
Positions (direct):
K 0.0000 0.0000 0.0000
Mg 0.1939 0.1939 0.6936
Mg 0.8061 0.8061 0.3064
Cu 0.5000 0.5000 0.5000

Computed properties:
E_form   0.19 eV per atom
Electronic total energy   -1.90 eV/atom
Crystal system   monoclinic


- electronic total energy of number 2 (KMgCu2)?
  -2.44 eV/atom